# 1
The following is a DFT calculation (meta-GGA SCAN) of SrTiCu2I at its PBEsol-relaxed geometry.

a b c (Å): 4.746 4.746 6.448
angles (deg): 90.00 90.00 90.00
Positions (direct):
Sr (0.000, 0.000, 0.000)
Ti (0.000, 0.000, 0.500)
Cu (0.000, 0.500, 0.500)
Cu (0.500, 0.000, 0.500)
I (0.500, 0.500, 0.000)

Computed properties:
For the density of states at the Fermi level, the calculation gives 2.894 states/eV/cell. As for the uncorrected formation energy: 0.54 eV/atom. The total moment is 2.8 μB/f.u. Its space group is P4/mmm, No. 123.

***

# 2
The following is a DFT calculation (meta-GGA SCAN) of FeAs2BrF at its PBEsol-relaxed geometry.

a b c (Å): 4.412 4.412 4.854
angles (deg): 90.00 90.00 90.00
Positions (direct):
Fe (0.000, 0.000, 0.000)
As (0.000, 0.500, 0.000)
As (0.500, 0.000, 0.000)
Br (0.000, 0.000, 0.500)
F (0.500, 0.500, 0.500)

Computed properties:
For the density of states at the Fermi level, the calculation gives 3.151 states/eV/cell. As for the uncorrected formation energy: 0.10 eV/atom. The total moment is 1.8 μB/f.u. Its space group is P4/mmm, No. 123.

***

# 3
The following is a DFT calculation (meta-GGA SCAN) of TeRu2W at its PBEsol-relaxed geometry.

a b c (Å): 8.682 8.682 8.682
angles (deg): 19.53 19.53 19.53
Positions (direct):
Te (0.000, 0.000, 0.000)
Ru (0.248, 0.248, 0.248)
Ru (0.752, 0.752, 0.752)
W (0.500, 0.500, 0.500)

Computed properties:
For the density of states at the Fermi level, the calculation gives 3.273 states/eV/cell. As for the uncorrected formation energy: 0.40 eV/atom. The total moment is 0.0 μB/f.u. Its space group is R-3m, No. 166.

***

# 4
The following is a DFT calculation (meta-GGA SCAN) of Ta2BeZn at its PBEsol-relaxed geometry.

a b c (Å): 3.932 3.932 3.741
angles (deg): 90.00 90.00 90.00
Positions (direct):
Ta (0.000, 0.500, 0.000)
Ta (0.500, 0.000, 0.000)
Be (0.000, 0.000, 0.500)
Zn (0.500, 0.500, 0.500)

Computed properties:
For the density of states at the Fermi level, the calculation gives 1.480 states/eV/cell. The value obtained for the energy of formation is -3 meV per atom. The total moment is 0.0 μB/f.u. Its space group is P4/mmm, No. 123.

***

# 5
The following is a DFT calculation (meta-GGA SCAN) of Sr2HfNbO6 at its PBEsol-relaxed geometry.

a b c (Å): 5.757 5.757 5.757
angles (deg): 60.00 60.00 60.00
Positions (direct):
Sr (0.250, 0.250, 0.250)
Sr (0.750, 0.750, 0.750)
Hf (0.000, 0.000, 0.000)
Nb (0.500, 0.500, 0.500)
O (0.252, 0.252, 0.748)
O (0.252, 0.748, 0.252)
O (0.252, 0.748, 0.748)
O (0.748, 0.252, 0.252)
O (0.748, 0.252, 0.748)
O (0.748, 0.748, 0.252)

Computed properties:
For the density of states at the Fermi level, the calculation gives 2.421 states/eV/cell. As for the uncorrected formation energy: -3.30 eV/atom. The total moment is 0.0 μB/f.u. Its space group is Fm-3m, No. 225.

***

# 6
The following is a DFT calculation (meta-GGA SCAN) of KAsS2Cl at its PBEsol-relaxed geometry.

a b c (Å): 4.738 4.738 5.231
angles (deg): 90.00 90.00 90.00
Positions (direct):
K (0.000, 0.000, 0.000)
As (0.500, 0.500, 0.500)
S (0.000, 0.500, 0.500)
S (0.500, 0.000, 0.500)
Cl (0.500, 0.500, 0.000)

Computed properties:
For the density of states at the Fermi level, the calculation gives 1.705 states/eV/cell. As for the uncorrected formation energy: -0.58 eV/atom. The total moment is 0.0 μB/f.u. Its space group is P4/mmm, No. 123.

***

# 7
The following is a DFT calculation (meta-GGA SCAN) of CeInNi at its PBEsol-relaxed geometry.

a b c (Å): 7.167 7.167 4.022
angles (deg): 90.00 90.00 120.00
Positions (direct):
Ce (0.000, 0.417, 0.000)
Ce (0.417, 0.000, 0.000)
Ce (0.583, 0.583, 0.000)
In (0.000, 0.753, 0.500)
In (0.247, 0.247, 0.500)
In (0.753, 0.000, 0.500)
Ni (0.000, 0.000, 0.000)
Ni (0.333, 0.667, 0.500)
Ni (0.667, 0.333, 0.500)

Computed properties:
For the density of states at the Fermi level, the calculation gives 5.058 states/eV/cell. The value obtained for the energy of formation is -490 meV per atom. The total moment is 0.1 μB/f.u. Its space group is P-62m, No. 189.

***

# 8
The following is a DFT calculation (meta-GGA SCAN) of Cl at its PBEsol-relaxed geometry.

a b c (Å): 3.959 3.959 6.541
angles (deg): 90.00 90.00 120.00
Positions (direct):
Cl (0.000, 0.916, 0.167)
Cl (0.084, 0.084, 0.500)
Cl (0.916, 0.000, 0.833)

Computed properties:
For the density of states at the Fermi level, the calculation gives 1.603 states/eV/cell. As for the uncorrected formation energy: 0.17 eV/atom. The total moment is 0.0 μB/f.u. Its space group is P3_121, No. 152.